No. 1
A plane-wave DFT calculation with PBE was carried out for a relaxed SbAs3 crystal.

```
SbAs3
1.0
4.930 0.001 0.000
-0.001 4.930 0.000
0.000 0.000 3.469
Sb As
1 3
Cartesian
0.000 0.000 0.000
0.000 2.465 1.734
2.465 0.001 1.734
2.465 2.466 0.000
```

Properties
E_tot = -16.50 eV/cell
DOS(E_F) = 2.05 states/eV/cell
magnetic moment = 0.0 Bohr magnetons per cell
offset from the most stable computed form = 389 meV per atom
theoretical density = 6.8 g/cm³

No. 2
A plane-wave DFT calculation with PBE was carried out for a relaxed SbAs2 crystal.

```
SbAs2
1.0
-1.822 1.822 10.486
1.822 -1.822 10.486
1.822 1.822 -10.486
Sb As
2 4
Cartesian
0.000 0.000 0.000
0.000 1.822 5.243
0.000 0.000 12.180
1.822 0.000 3.550
0.000 0.000 8.793
1.822 0.000 6.937
```

Properties
E_tot = -25.22 eV/cell
DOS(E_F) = 2.93 states/eV/cell
magnetic moment = 0.0 Bohr magnetons per cell
offset from the most stable computed form = 243 meV per atom
theoretical density = 6.5 g/cm³

No. 3
A plane-wave DFT calculation with PBE was carried out for a relaxed SbAs crystal.

```
SbAs
1.0
-2.623 5.551 0.012
-0.217 -0.115 5.954
10.773 5.090 0.491
Sb As
8 8
Cartesian
-1.951 4.311 2.820
9.880 6.510 0.661
4.402 3.619 6.020
3.535 6.611 3.414
7.202 5.033 3.364
0.670 5.336 6.069
6.225 8.094 0.406
1.770 2.588 3.074
-0.861 1.809 2.937
8.497 9.632 0.544
3.303 6.116 6.154
4.927 3.494 3.277
7.281 5.596 0.669
0.406 5.738 2.813
6.126 7.520 3.646
2.054 2.196 5.786
```

Properties
E_tot = -69.50 eV/cell
DOS(E_F) = 1.28 states/eV/cell
magnetic moment = 0.0 Bohr magnetons per cell
offset from the most stable computed form = 55 meV per atom
theoretical density = 6.0 g/cm³

No. 4
A plane-wave DFT calculation with PBE was carried out for a relaxed SbAs crystal.

```
SbAs
1.0
-3.017 2.613 -2.901
-1.872 -3.099 3.352
-0.068 4.587 4.202
Sb As
2 2
Cartesian
-2.281 0.654 2.962
-2.697 4.851 2.978
-2.319 3.245 5.335
-2.667 2.855 1.150
```

Properties
E_tot = -17.00 eV/cell
DOS(E_F) = 1.09 states/eV/cell
magnetic moment = 0.0 Bohr magnetons per cell
offset from the most stable computed form = 150 meV per atom
theoretical density = 5.0 g/cm³

No. 5
A plane-wave DFT calculation with PBE was carried out for a relaxed Sb4As crystal.

```
Sb4As
1.0
-2.934 2.934 4.352
2.934 -2.934 4.352
2.934 2.934 -4.352
Sb As
4 1
Cartesian
0.000 2.934 2.176
2.934 0.000 2.176
0.000 0.000 5.827
0.000 0.000 2.877
0.000 0.000 0.000
```

Properties
E_tot = -19.34 eV/cell
DOS(E_F) = 3.30 states/eV/cell
magnetic moment = 0.0 Bohr magnetons per cell
offset from the most stable computed form = 162 meV per atom
theoretical density = 6.2 g/cm³

No. 6
A plane-wave DFT calculation with PBE was carried out for a relaxed SbAs crystal.

```
SbAs
1.0
-1.967 2.816 -1.031
0.709 -0.762 -3.432
-2.914 -2.086 -0.139
Sb As
1 1
Cartesian
-2.086 -0.016 -2.301
0.000 0.000 0.000
```

Properties
E_tot = -8.14 eV/cell
DOS(E_F) = 1.53 states/eV/cell
magnetic moment = 0.0 Bohr magnetons per cell
offset from the most stable computed form = 330 meV per atom
theoretical density = 7.1 g/cm³

No. 7
A plane-wave DFT calculation with PBE was carried out for a relaxed SbAs2 crystal.

```
SbAs2
1.0
6.417 -0.017 0.000
-5.153 3.824 0.000
0.000 0.000 5.756
As Sb
4 2
Cartesian
-4.585 3.635 0.000
-0.607 2.315 0.000
-0.700 2.346 2.878
3.278 1.025 2.878
3.211 1.047 0.000
-4.518 3.613 2.878
```

Properties
E_tot = -26.30 eV/cell
DOS(E_F) = 2.31 states/eV/cell
magnetic moment = 0.0 Bohr magnetons per cell
offset from the most stable computed form = 64 meV per atom
theoretical density = 6.4 g/cm³

No. 8
A plane-wave DFT calculation with PBE was carried out for a relaxed SbAs2 crystal.

```
SbAs2
1.0
-2.634 1.040 -2.180
2.530 -2.226 -1.189
-3.576 -5.079 1.898
Sb As
1 2
Cartesian
0.000 0.000 0.000
-3.105 -3.163 -0.686
-0.575 -3.102 -0.785
```

Properties
E_tot = -12.86 eV/cell
DOS(E_F) = 1.12 states/eV/cell
magnetic moment = 0.0 Bohr magnetons per cell
offset from the most stable computed form = 160 meV per atom
theoretical density = 6.3 g/cm³

No. 9
A plane-wave DFT calculation with PBE was carried out for a relaxed SbAs3 crystal.

```
SbAs3
1.0
3.805 -6.591 0.000
3.805 6.591 0.000
0.000 0.000 3.674
Sb As
2 6
Cartesian
3.805 2.197 0.918
3.805 -2.197 2.755
5.799 -1.046 0.918
1.811 -1.046 0.918
3.805 -4.499 0.918
1.811 1.046 2.755
5.799 1.046 2.755
3.805 4.499 2.755
```

Properties
E_tot = -34.27 eV/cell
DOS(E_F) = 4.37 states/eV/cell
magnetic moment = 0.0 Bohr magnetons per cell
offset from the most stable computed form = 230 meV per atom
theoretical density = 6.2 g/cm³

No. 10
A plane-wave DFT calculation with PBE was carried out for a relaxed SbAs crystal.

```
SbAs
1.0
-6.813 -6.840 2.918
7.305 -6.895 0.892
1.390 2.716 9.612
Sb As
8 8
Cartesian
0.695 -4.066 4.953
2.972 -5.161 7.705
-0.726 -5.147 8.235
0.824 -7.664 5.951
1.636 -9.576 11.664
-4.781 -6.492 3.911
5.638 -6.532 2.416
1.272 0.561 8.852
0.264 -1.544 1.881
6.522 -4.552 9.441
-3.639 -4.512 10.899
0.618 -11.430 4.623
1.205 -7.054 8.592
-1.232 -5.883 5.648
2.725 -5.898 5.080
1.067 -3.204 7.524
```

Properties
E_tot = -65.11 eV/cell
magnetic moment = 0.0 Bohr magnetons per cell
offset from the most stable computed form = 329 meV per atom
theoretical density = 2.5 g/cm³

No. 11
A plane-wave DFT calculation with PBE was carried out for a relaxed Sb4As crystal.

```
Sb4As
1.0
0.401 -1.674 5.549
-1.183 5.684 -0.227
-4.253 -2.970 -2.617
Sb As
4 1
Cartesian
0.200 -0.837 2.775
-2.518 0.520 1.353
-0.592 2.842 -0.114
-2.127 -1.485 -1.308
0.000 0.000 0.000
```

Properties
E_tot = -19.56 eV/cell
DOS(E_F) = 2.10 states/eV/cell
magnetic moment = 0.0 Bohr magnetons per cell
offset from the most stable computed form = 119 meV per atom
theoretical density = 6.2 g/cm³

No. 12
A plane-wave DFT calculation with PBE was carried out for a relaxed Sb3As crystal.

```
Sb3As
1.0
5.221 0.000 0.000
2.611 4.522 0.000
2.611 1.507 4.263
Sb As
3 1
Cartesian
2.611 1.507 1.066
5.221 3.014 2.131
7.832 4.522 3.197
0.000 0.000 0.000
```

Properties
E_tot = -15.77 eV/cell
DOS(E_F) = 5.34 states/eV/cell
magnetic moment = 0.0 Bohr magnetons per cell
offset from the most stable computed form = 284 meV per atom
theoretical density = 7.3 g/cm³

no.,ΔE_f (raw) (meV/atom)
1,393
2,270
3,42
4,137
5,360
6,318
7,91
8,187
9,234
10,316
11,316
12,312